1.
## BaSrZn4 (meta-GGA SCAN)

Data for a PBEsol-optimized structure of BaSrZn4.

Calculated values
Energy relative to the elements, eV/f.u.: -0.8
Fermi-level density of states, states/eV/cell: 5.13

abc: 5.782 5.782 5.782
angles: 60.00 60.00 60.00
Fractional positions:
Sr (0.000, 0.000, 0.000)
Zn (0.375, 0.375, 0.375)
Zn (0.375, 0.375, 0.876)
Zn (0.876, 0.375, 0.375)
Zn (0.375, 0.876, 0.375)
Ba (0.750, 0.750, 0.750)

***

2.
## CuP2RuS (meta-GGA SCAN)

Data for a PBEsol-optimized structure of CuP2RuS.

Calculated values
Formation energy without anion corrections, eV per atom: 1.239
Fermi-level density of states, states/eV/cell: 3.76

abc: 4.283 4.283 4.370
angles: 90.00 90.00 90.00
Fractional positions:
Ru (0.500, 0.500, 0.500)
S (0.000, 0.000, 0.500)
Cu (0.000, 0.000, 0.000)
P (0.000, 0.500, 0.000)
P (0.500, 0.000, 0.000)

***

3.
## YZr3S (meta-GGA SCAN)

Data for a PBEsol-optimized structure of YZr3S.

Calculated values
Formation energy without anion corrections, eV per atom: -0.641
Fermi-level density of states, states/eV/cell: 5.60

abc: 4.879 4.879 4.879
angles: 90.00 90.00 90.00
Fractional positions:
Y (0.500, 0.500, 0.500)
S (0.000, 0.000, 0.000)
Zr (0.000, 0.500, 0.000)
Zr (0.000, 0.000, 0.500)
Zr (0.500, 0.000, 0.000)

***

4.
## MnVGaCo (meta-GGA SCAN)

Data for a PBEsol-optimized structure of MnVGaCo.

Calculated values
Energy relative to the elements, eV/f.u.: -1.4
Fermi-level density of states, states/eV/cell: 6.09

abc: 5.668 5.668 5.668
angles: 90.00 90.00 90.00
Each line ends with the local moment (μB).
Fractional positions:
Mn (0.500, 0.500, 0.000)  -1.06
Mn (0.500, 0.000, 0.500)  -1.06
Mn (0.000, 0.500, 0.500)  -1.06
Mn (0.500, 0.500, 0.500)  -1.30
V (0.257, 0.257, 0.257)  0.52
V (0.743, 0.743, 0.257)  0.52
V (0.257, 0.743, 0.743)  0.52
V (0.743, 0.257, 0.743)  0.52
Ga (0.754, 0.754, 0.754)  -0.01
Ga (0.246, 0.246, 0.754)  -0.01
Ga (0.246, 0.754, 0.246)  -0.01
Ga (0.754, 0.246, 0.246)  -0.01
Co (0.000, 0.000, 0.000)  1.10
Co (0.500, 0.000, 0.000)  0.57
Co (0.000, 0.500, 0.000)  0.57
Co (0.000, 0.000, 0.500)  0.57

***

5.
## Sc2IrRh (meta-GGA SCAN)

Data for a PBEsol-optimized structure of Sc2IrRh.

Calculated values
Energy relative to the elements, eV/f.u.: -3.6
Fermi-level density of states, states/eV/cell: 2.38

abc: 3.666 3.874 5.337
angles: 111.28 110.09 90.00
Fractional positions:
Ir (0.499, 0.499, 0.999)
Rh (0.250, 0.750, 0.500)
Sc (0.998, 0.998, 0.997)
Sc (0.752, 0.252, 0.505)

***

6.
## Sb3PdC (meta-GGA SCAN)

Data for a PBEsol-optimized structure of Sb3PdC.

Calculated values
Formation energy without anion corrections, eV per atom: 1.694
Fermi-level density of states, states/eV/cell: 3.91

abc: 5.098 5.098 5.098
angles: 90.00 90.00 90.00
Each line ends with the local moment (μB).
Fractional positions:
Sb (0.000, 0.500, 0.000)  -0.08
Sb (0.000, 0.000, 0.500)  -0.08
Sb (0.500, 0.000, 0.000)  -0.08
C (0.500, 0.500, 0.500)  0.80
Pd (0.000, 0.000, 0.000)  -0.08

***

| no. | raw total energy (eV/atom) |
| --- | --- |
| 1 | -19.4459 |
| 2 | -14.8514 |
| 3 | -26.5549 |
| 4 | -17.7065 |
| 5 | -34.2330 |
| 6 | -29.2369 |